(1)
## NaScVW (GGA-PBE)

Data for NaScVW after structural relaxation.

Unit cell a=2.7902 b=4.3463 c=6.5620 alpha=90.00 beta=100.64 gamma=90.00
Closest atoms and distances in Å follow each position.
Positions (direct):
1 Na 0.0000 0.0000 0.0000  2 Na 2.79, 1 V 3.03
2 Sc 0.3714 0.5000 0.6874  1 W 2.73, 2 Sc 2.79, 2 V 2.82
3 V 0.9201 0.0000 0.4538  2 W 2.53, 2 V 2.79, 2 Sc 2.82
4 W 0.5648 0.5000 0.2951  2 V 2.53, 1 Sc 2.73, 2 W 2.79

Summary:
Space-group type: Pm (6)
Relative energy among the computed polymorphs, eV/atom: 0.271

(2)
## NaScVW (GGA-PBE)

Data for NaScVW after structural relaxation.

Unit cell a=5.0984 b=5.0984 c=5.0984 alpha=51.17 beta=51.17 gamma=51.17
Closest atoms and distances in Å follow each position.
Positions (direct):
1 Na 0.0000 0.0000 0.0000  3 Sc 2.82, 4 V 2.88-3.07
2 Sc 0.2408 0.2408 0.2408  3 Na 2.82, 4 W 2.85-3.13, 3 V 3.14
3 V 0.7686 0.7686 0.7686  3 W 2.60, 3 Na 2.88
4 W 0.4771 0.4771 0.4771  3 V 2.60, 3 Sc 2.85

Summary:
Space-group type: R3m (160)
Relative energy among the computed polymorphs, eV/atom: 0.378

(3)
## NaScVW (GGA-PBE)

Data for NaScVW after structural relaxation.

Unit cell a=3.1890 b=3.1890 c=8.5722 alpha=90.00 beta=90.00 gamma=90.00
Closest atoms and distances in Å follow each position.
Positions (direct):
1 Na 0.0000 0.0000 0.0000  4 Na 3.19, 4 V 3.40
2 Sc 0.5000 0.5000 0.3540  4 W 2.88, 1 V 2.99, 4 Sc 3.19
3 V 0.5000 0.5000 0.7031  4 W 2.55
4 W 0.0000 0.0000 0.5637  4 V 2.55

Summary:
Space-group type: P4mm (99)
Relative energy among the computed polymorphs, eV/atom: 0.000

(4)
## Na2ScVZn (GGA-PBE)

Data for Na2ScVZn after structural relaxation.

Unit cell a=5.5100 b=5.5100 c=5.0096 alpha=90.00 beta=90.00 gamma=90.00
Closest atoms and distances in Å follow each position.
Positions (direct):
1 Na 0.0000 0.5000 0.0000  2 Sc 2.75
2 Na 0.5000 0.0000 0.0000  2 Sc 2.75
3 Sc 0.0000 0.0000 0.0000  2 Zn 2.50, 4 Na 2.75
4 V 0.5000 0.5000 0.5000  8 Na 3.72, 4 Zn 3.90
5 Zn 0.0000 0.0000 0.5000  2 Sc 2.50

Summary:
Space-group type: P4/mmm (123)

(5)
## NaSc2W (GGA-PBE)

Data for NaSc2W after structural relaxation.

Unit cell a=10.0414 b=10.0414 c=10.0414 alpha=155.10 beta=155.10 gamma=35.50
Closest atoms and distances in Å follow each position.
Positions (direct):
1 Na 0.0000 0.0000 0.0000  4 Sc 2.88, 4 W 3.06
2 Na 0.7500 0.2500 0.5000  4 Sc 2.88, 4 W 3.06
3 Sc 0.1510 0.6250 0.0260  2 W 2.80, 2 Na 2.88, 2 Sc 2.91
4 Sc 0.3750 0.4010 0.5260  2 W 2.80, 2 Na 2.88, 2 Sc 2.91
5 Sc 0.5990 0.1250 0.9740  2 W 2.80, 2 Na 2.88, 2 Sc 2.91
6 Sc 0.8750 0.8490 0.4740  2 W 2.80, 2 Na 2.88, 2 Sc 2.91
7 W 0.2500 0.7500 0.5000  4 Sc 2.80, 4 Na 3.06
8 W 0.5000 0.5000 0.0000  4 Sc 2.80, 4 Na 3.06

Summary:
Space-group type: I-42d (122)
Relative energy among the computed polymorphs, eV/atom: 0.792

(6)
## Na2ScW2 (GGA-PBE)

Data for Na2ScW2 after structural relaxation.

Unit cell a=8.8460 b=8.8460 c=2.7611 alpha=90.00 beta=90.00 gamma=90.00
Closest atoms and distances in Å follow each position.
Positions (direct):
1 Na 0.1960 0.3040 0.0000  2 Na 2.76, 6 W 2.96-3.06
2 Na 0.3040 0.8040 0.0000  2 Na 2.76, 6 W 2.96-3.06
3 Na 0.6960 0.1960 0.0000  2 Na 2.76, 6 W 2.96-3.06
4 Na 0.8040 0.6960 0.0000  2 Na 2.76, 6 W 2.96-3.06
5 Sc 0.0000 0.0000 0.5000  2 Sc 2.76
6 Sc 0.5000 0.5000 0.5000  2 Sc 2.76
7 W 0.0950 0.5950 0.5000  1 W 2.38
8 W 0.4050 0.0950 0.5000  1 W 2.38
9 W 0.5950 0.9050 0.5000  1 W 2.38
10 W 0.9050 0.4050 0.5000  1 W 2.38

Summary:
Space-group type: P4/mbm (127)
Relative energy among the computed polymorphs, eV/atom: 0.127

(7)
## Na2ScW2 (GGA-PBE)

Data for Na2ScW2 after structural relaxation.

Unit cell a=7.8473 b=7.8473 c=7.8473 alpha=151.22 beta=151.22 gamma=41.16
Closest atoms and distances in Å follow each position.
Positions (direct):
1 Na 0.2500 0.7500 0.5000  4 Na 2.76
2 Na 0.7500 0.2500 0.5000  4 Na 2.76
3 Sc 0.0000 0.0000 0.0000  8 W 2.98
4 W 0.4231 0.4231 0.0000  1 W 2.26
5 W 0.5769 0.5769 0.0000  1 W 2.26

Summary:
Space-group type: I4/mmm (139)
Relative energy among the computed polymorphs, eV/atom: 0.000

(8)
## NaSc3W (GGA-PBE)

Data for NaSc3W after structural relaxation.

Unit cell a=5.1997 b=5.1997 c=5.1997 alpha=90.00 beta=90.00 gamma=90.00
Closest atoms and distances in Å follow each position.
Positions (direct):
1 Na 0.0000 0.0000 0.0000  12 Sc 3.68
2 Sc 0.0000 0.5000 0.5000  2 W 2.60
3 Sc 0.5000 0.0000 0.5000  2 W 2.60
4 Sc 0.5000 0.5000 0.0000  2 W 2.60
5 W 0.5000 0.5000 0.5000  6 Sc 2.60

Summary:
Space-group type: Pm-3m (221)
Relative energy among the computed polymorphs, eV/atom: 0.000

(9)
## NaScW2 (GGA-PBE)

Data for NaScW2 after structural relaxation.

Unit cell a=10.6443 b=10.6443 c=10.6443 alpha=159.14 beta=159.14 gamma=29.66
Closest atoms and distances in Å follow each position.
Positions (direct):
1 Na 0.0000 0.0000 0.0000  4 Sc 2.72, 4 W 2.93
2 Na 0.7500 0.2500 0.5000  4 Sc 2.72, 4 W 2.93
3 Sc 0.2500 0.7500 0.5000  4 Na 2.72, 4 W 2.89
4 Sc 0.5000 0.5000 0.0000  4 Na 2.72, 4 W 2.89
5 W 0.1394 0.1250 0.5144  4 W 2.65-2.80, 2 Sc 2.89, 2 Na 2.93
6 W 0.3750 0.8606 0.9856  4 W 2.65-2.80, 2 Sc 2.89, 2 Na 2.93
7 W 0.6106 0.6250 0.4856  4 W 2.65-2.80, 2 Sc 2.89, 2 Na 2.93
8 W 0.8750 0.3894 0.0144  4 W 2.65-2.80, 2 Sc 2.89, 2 Na 2.93

Summary:
Space-group type: I-42d (122)
Relative energy among the computed polymorphs, eV/atom: 0.000

(10)
## NaScW3 (GGA-PBE)

Data for NaScW3 after structural relaxation.

Unit cell a=4.7343 b=4.7343 c=4.7343 alpha=90.00 beta=90.00 gamma=90.00
Closest atoms and distances in Å follow each position.
Positions (direct):
1 Na 0.0000 0.0000 0.0000  12 W 3.35
2 Sc 0.5000 0.5000 0.5000  6 W 2.37
3 W 0.0000 0.5000 0.5000  2 Sc 2.37
4 W 0.5000 0.0000 0.5000  2 Sc 2.37
5 W 0.5000 0.5000 0.0000  2 Sc 2.37

Summary:
Space-group type: Pm-3m (221)
Relative energy among the computed polymorphs, eV/atom: 0.000

(11)
## NaSc2W (GGA-PBE)

Data for NaSc2W after structural relaxation.

Unit cell a=4.8771 b=4.8771 c=4.8771 alpha=60.00 beta=60.00 gamma=60.00
Closest atoms and distances in Å follow each position.
Positions (direct):
1 Na 0.0000 0.0000 0.0000  8 Sc 2.99
2 Sc 0.2500 0.2500 0.2500  4 W 2.99, 4 Na 2.99
3 Sc 0.7500 0.7500 0.7500  4 W 2.99, 4 Na 2.99
4 W 0.5000 0.5000 0.5000  8 Sc 2.99

Summary:
Space-group type: Fm-3m (225)
Relative energy among the computed polymorphs, eV/atom: 0.194

(12)
## NaScW2 (GGA-PBE)

Data for NaScW2 after structural relaxation.

Unit cell a=4.6891 b=4.6891 c=4.6891 alpha=60.00 beta=60.00 gamma=60.00
Closest atoms and distances in Å follow each position.
Positions (direct):
1 Na 0.0000 0.0000 0.0000  8 W 2.87
2 Sc 0.5000 0.5000 0.5000  8 W 2.87
3 W 0.2500 0.2500 0.2500  4 Na 2.87, 4 Sc 2.87
4 W 0.7500 0.7500 0.7500  4 Na 2.87, 4 Sc 2.87

Summary:
Space-group type: Fm-3m (225)
Relative energy among the computed polymorphs, eV/atom: 0.388

| no. | VASP energy (eV/atom) |
| --- | --- |
| 1 | -6.818 |
| 2 | -6.711 |
| 3 | -7.089 |
| 4 | -2.239 |
| 5 | -5.526 |
| 6 | -5.764 |
| 7 | -5.891 |
| 8 | -6.089 |
| 9 | -7.342 |
| 10 | -6.814 |
| 11 | -6.124 |
| 12 | -6.954 |